Record 1
The following is a GGA-PBE calculation of LiTaRu2 after structural relaxation, from Alexandria via LeMat-Bulk.

Values from the calculation:
Symmetry: No. 35
Mass density in kg/m3: 10336
Formation energy in eV/atom: 0.35
Relative energy among the computed polymorphs in meV/atom: 548

a b c (Å): 2.723 2.723 9.411
angles (deg): 90.00 90.00 116.07
Each line ends with the local moment (μB).
Sites, in units of the cell vectors:
1 Li 0.500 0.500 0.766  0.00
2 Ru 0.000 0.000 0.006  0.70
3 Ru 0.500 0.500 0.242  0.38
4 Ta 0.000 0.000 0.486  0.04

=====

Record 2
The following is a GGA-PBE calculation of Nd5Dy4Pu after structural relaxation, from Alexandria via LeMat-Bulk.

Values from the calculation:
Symmetry: No. 12
Mass density in kg/m3: 8117
Formation energy in eV/atom: 0.07

a b c (Å): 3.555 11.512 8.725
angles (deg): 108.64 101.76 90.00
Each line ends with the local moment (μB).
Sites, in units of the cell vectors:
1 Nd 0.210 0.614 0.420  -0.01
2 Nd 0.186 0.078 0.372  -0.01
3 Nd 0.814 0.922 0.628  -0.01
4 Nd 0.500 0.500 0.000  -0.01
5 Nd 0.790 0.386 0.580  -0.01
6 Dy 0.605 0.800 0.209  0.00
7 Dy 0.918 0.712 0.836  0.06
8 Dy 0.395 0.200 0.791  0.00
9 Dy 0.082 0.288 0.164  0.06
10 Pu 0.500 0.000 0.000  5.54

=====

Record 3
The following is a GGA-PBE calculation of TaCr2Se after structural relaxation, from Alexandria via LeMat-Bulk.

Values from the calculation:
Symmetry: No. 166
ΔE_f (raw) in eV per atom: 0.2709
Mass density in kg/m3: 9504

a b c (Å): 7.915 7.915 7.915
angles (deg): 22.48 22.48 22.48
Each line ends with the local moment (μB).
Sites, in units of the cell vectors:
1 Cr 0.996 0.996 0.996  1.93
2 Cr 0.504 0.504 0.504  1.93
3 Se 0.250 0.250 0.250  -0.10
4 Ta 0.750 0.750 0.750  -0.39

=====

Record 4
The following is a GGA-PBE calculation of Si2Pd3Rh after structural relaxation, from Alexandria via LeMat-Bulk.

Values from the calculation:
Symmetry: No. 26
ΔE_f (raw) in eV per atom: -0.6979
Mass density in kg/m3: 9331

a b c (Å): 3.872 5.901 7.451
angles (deg): 90.00 90.00 90.00
Sites, in units of the cell vectors:
1 Si 0.500 0.734 0.864
2 Si 0.500 0.234 0.136
3 Si 0.000 0.265 0.625
4 Si 0.000 0.765 0.375
5 Pd 0.000 0.468 0.920
6 Pd 0.000 0.968 0.080
7 Pd 0.500 0.647 0.180
8 Pd 0.500 0.147 0.820
9 Pd 0.000 0.357 0.314
10 Pd 0.000 0.857 0.686
11 Rh 0.500 0.529 0.578
12 Rh 0.500 0.029 0.422

=====

Record 5
The following is a GGA-PBE calculation of K2CoAu after structural relaxation, from Alexandria via LeMat-Bulk.

Values from the calculation:
Symmetry: No. 12
Mass density in kg/m3: 3439
Formation energy in eV/atom: 0.65
Relative energy among the computed polymorphs in meV/atom: 383

a b c (Å): 4.795 4.795 8.613
angles (deg): 74.61 74.61 58.82
Each line ends with the local moment (μB).
Sites, in units of the cell vectors:
1 Au 0.750 0.750 0.750  0.00
2 Co 0.250 0.250 0.250  2.01
3 K 0.005 0.005 0.988  -0.01
4 K 0.495 0.495 0.512  -0.01

=====

Record 6
The following is a GGA-PBE calculation of PmNdErTm3 after structural relaxation, from Alexandria via LeMat-Bulk.

Values from the calculation:
Symmetry: No. 63
Mass density in kg/m3: 8355
Formation energy in eV/atom: 0.11

a b c (Å): 5.808 6.368 11.632
angles (deg): 90.00 90.00 117.13
Sites, in units of the cell vectors:
1 Pm 0.502 0.004 0.750
2 Pm 0.498 0.996 0.250
3 Nd 0.000 0.000 0.500
4 Nd 0.000 0.000 0.000
5 Er 0.826 0.651 0.750
6 Er 0.174 0.349 0.250
7 Tm 0.673 0.345 0.498
8 Tm 0.327 0.655 0.502
9 Tm 0.327 0.655 0.998
10 Tm 0.673 0.345 0.002
11 Tm 0.172 0.344 0.750
12 Tm 0.828 0.656 0.250

=====

Record 7
The following is a GGA-PBE calculation of Ac2LaCe3As6 after structural relaxation, from Alexandria via LeMat-Bulk.

Values from the calculation:
Symmetry: No. 12
Mass density in kg/m3: 6915
Formation energy in eV/atom: -1.45

a b c (Å): 7.542 7.542 7.561
angles (deg): 99.58 99.58 120.00
Each line ends with the local moment (μB).
Sites, in units of the cell vectors:
1 Ac 0.334 0.666 0.000  0.01
2 Ac 0.666 0.334 0.000  0.01
3 La 0.000 0.000 0.000  0.01
4 Ce 0.167 0.833 0.500  0.64
5 Ce 0.833 0.167 0.500  0.64
6 Ce 0.500 0.500 0.500  0.64
7 As 0.911 0.583 0.733  -0.02
8 As 0.762 0.762 0.268  -0.02
9 As 0.089 0.417 0.267  -0.02
10 As 0.583 0.911 0.733  -0.02
11 As 0.238 0.238 0.732  -0.02
12 As 0.417 0.089 0.267  -0.02

=====

Record 8
The following is a GGA-PBE calculation of Sr2CuSi after structural relaxation, from Alexandria via LeMat-Bulk.

Values from the calculation:
Symmetry: No. 47
ΔE_f (raw) in eV per atom: 0.0499
Mass density in kg/m3: 3474

a b c (Å): 4.040 4.966 6.356
angles (deg): 90.00 90.00 90.00
Sites, in units of the cell vectors:
1 Cu 0.000 0.000 0.375
2 Si 0.500 0.500 0.875
3 Sr 0.000 0.000 0.875
4 Sr 0.500 0.500 0.375

=====

Q: Which calculated volume values were calculated for the entries above? A: 15.67, 33.04, 15.90, 14.19, 40.33, 31.91, 29.27, 31.89, in Å³ per atom.